Entry 1:
## Tl2TcMo (PBE)

Data for an optimized crystal structure of Tl2TcMo.

Output
- ΔE_f: 0.89 eV/atom
- Excess energy over the best structure of this formula in the dataset: 528.0 meV per atom

Lattice parameters (Å, degrees): 5.6448 5.6448 5.6448 147.52 125.90 64.54
Sites, in units of the cell vectors:
Tl 0.4947 0.4947 0.0000
Tl 0.0053 0.0053 0.0000
Mo 0.7500 0.2500 0.5000
Tc 0.2500 0.7500 0.5000

***

Entry 2:
## Nd2CdSb (PBE)

Data for an optimized crystal structure of Nd2CdSb.

Output
- ΔE_f (raw): -2.44 eV per formula unit
- Excess energy over the best structure of this formula in the dataset: 57.9 meV per atom

Lattice parameters (Å, degrees): 4.4324 4.4324 8.1480 74.22 74.22 60.00
Sites, in units of the cell vectors:
Sb 0.0000 0.0000 0.0000
Nd 0.2561 0.2561 0.2316
Nd 0.7439 0.7439 0.7684
Cd 0.5000 0.5000 0.5000

***

Entry 3:
## Y4Ho5Th2 (PBE)

Data for an optimized crystal structure of Y4Ho5Th2.

Output
- ΔE_f: 0.06 eV/atom
- Excess energy over the best structure of this formula in the dataset: 0.0 meV per atom

Lattice parameters (Å, degrees): 3.5336 11.2080 8.8607 90.75 89.84 89.52
Sites, in units of the cell vectors:
Y 0.7895 0.2620 0.0864
Y 0.2105 0.7380 0.9136
Y 0.7552 0.7970 0.2697
Ho 0.5000 0.0000 0.0000
Ho 0.2365 0.0881 0.3595
Th 0.2487 0.6367 0.5454
Ho 0.2590 0.5220 0.1822
Y 0.2448 0.2030 0.7303
Ho 0.7410 0.4780 0.8178
Ho 0.7635 0.9119 0.6405
Th 0.7513 0.3633 0.4546

***

Entry 4:
## LaDy3Mg6 (PBE)

Data for an optimized crystal structure of LaDy3Mg6.

Output
- ΔE_f: -0.07 eV/atom

Lattice parameters (Å, degrees): 5.3276 9.3221 11.3662 106.15 90.00 90.00
Sites, in units of the cell vectors:
Mg 0.7500 0.5547 0.9011
Mg 0.2500 0.6521 0.7045
Dy 0.2500 0.3521 0.7982
Mg 0.2500 0.2557 0.4944
Dy 0.2500 0.5443 0.3936
Mg 0.7500 0.3479 0.2955
Mg 0.7500 0.8505 0.8041
La 0.7500 0.0538 0.3948
Mg 0.2500 0.1495 0.1959
Mg 0.7500 0.1504 0.7082
Mg 0.7500 0.7443 0.5056
Dy 0.7500 0.2494 0.0005
La 0.2500 0.9462 0.6052
Dy 0.7500 0.4557 0.6064
Dy 0.7500 0.6479 0.2018
Mg 0.2500 0.4453 0.0989
Mg 0.7500 0.9483 0.0937
Mg 0.2500 0.8496 0.2918
Mg 0.2500 0.0517 0.9063
Dy 0.2500 0.7506 0.9995

***

Entry 5:
## Sm4ZnCo (PBE)

Data for an optimized crystal structure of Sm4ZnCo.

Output
- ΔE_f: 0.06 eV/atom
- Excess energy over the best structure of this formula in the dataset: 242.0 meV per atom

Lattice parameters (Å, degrees): 7.8771 7.8771 7.8771 107.70 107.70 113.07
Sites, in units of the cell vectors:
Sm 0.2745 0.5835 0.3091
Sm 0.1745 0.9754 0.1991
Co 0.4997 0.9997 0.5000
Sm 0.3335 0.5245 0.8091
Sm 0.7254 0.4245 0.6991
Sm 0.7254 0.0264 0.3009
Sm 0.7764 0.9754 0.8009
Sm 0.7154 0.5245 0.1909
Co 0.7497 0.7497 0.0000
Sm 0.2745 0.9654 0.6909
Zn 0.0004 0.5004 0.5000
Zn 0.2504 0.2504 0.0000

***

Entry 6:
## Zr2TlPd6 (PBE)

Data for an optimized crystal structure of Zr2TlPd6.

Output
- ΔE_f: -0.40 eV/atom

Lattice parameters (Å, degrees): 3.0427 7.6096 8.0234 118.31 90.00 90.00
Sites, in units of the cell vectors:
Pd 0.5000 0.6765 0.0000
Zr 0.5003 0.3145 0.6290
Pd 0.9999 0.3520 0.3238
Pd 0.5000 0.3235 0.0000
Tl 0.0000 0.0000 0.0000
Zr 0.4997 0.6855 0.3710
Pd 0.0001 0.6480 0.6762
Pd 0.0001 0.0282 0.6762
Pd 0.9999 0.9718 0.3238

***

Entry 7:
## Sc2MnMo (PBE)

Data for an optimized crystal structure of Sc2MnMo.

Output
- ΔE_f: 0.61 eV/atom
- Excess energy over the best structure of this formula in the dataset: 585.1 meV per atom

Lattice parameters (Å, degrees): 7.2499 7.2499 5.8541 51.74 51.74 90.00
Sites, in units of the cell vectors:
Sc 0.1396 0.6250 0.2500
Mn 0.2500 0.7500 0.5000
Mo 0.0000 0.0000 0.0000
Sc 0.6104 0.1250 0.2500
Mo 0.7500 0.2500 0.5000
Sc 0.8750 0.8604 0.7500
Sc 0.3750 0.3896 0.7500
Mn 0.5000 0.5000 0.0000

***

Entry 8:
## Tc2RuBr (PBE)

Data for an optimized crystal structure of Tc2RuBr.

Output
- ΔE_f (raw): 3.36 eV per formula unit
- Excess energy over the best structure of this formula in the dataset: 324.2 meV per atom

Lattice parameters (Å, degrees): 4.5683 4.5684 2.9077 90.00 90.00 90.01
Sites, in units of the cell vectors:
Ru 0.0000 0.5000 0.5000
Tc 0.0000 0.0000 0.0000
Br 0.5000 0.0000 0.5000
Tc 0.5000 0.5000 0.0000

***

Entry 9:
## Sm3NpTl3S8 (PBE)

Data for an optimized crystal structure of Sm3NpTl3S8.

Output
- ΔE_f (raw): -21.39 eV per formula unit

Lattice parameters (Å, degrees): 8.1929 8.1925 8.9141 117.37 90.00 120.00
Sites, in units of the cell vectors:
Sm 0.5000 0.5000 0.5000
S 0.2255 0.4509 0.6947
Tl 0.0000 0.0000 0.0000
S 0.7439 0.9693 0.6947
Sm 0.5000 0.0000 0.5000
S 0.2561 0.0307 0.3053
Tl 0.0000 0.5000 0.0000
S 0.2254 0.9693 0.6947
Np 0.0000 0.0000 0.5000
S 0.7745 0.5491 0.3053
Sm 0.0000 0.5000 0.5000
S 0.7746 0.0307 0.3053
S 0.7338 0.4676 0.7013
S 0.2662 0.5324 0.2987
Tl 0.5000 0.5000 0.0000

***

Entry 10:
## Ce2TaCoN5 (PBE)

Data for an optimized crystal structure of Ce2TaCoN5.

Output
- ΔE_f (raw): -8.97 eV per formula unit

Lattice parameters (Å, degrees): 3.2389 6.6742 10.3704 90.00 90.00 104.04
Sites, in units of the cell vectors:
N 0.2825 0.5650 0.6501
Ce 0.8583 0.7167 0.8082
Co 0.5230 0.0460 0.9557
Ce 0.1041 0.2082 0.6848
Ta 0.2005 0.4010 0.0125
N 0.6342 0.2683 0.4957
N 0.9516 0.9031 0.5593
N 0.4879 0.9758 0.7789
N 0.5121 0.0242 0.2789
N 0.6766 0.3532 0.8788
N 0.3658 0.7317 0.9957
Ce 0.8959 0.7918 0.1848
Co 0.4770 0.9540 0.4557
N 0.7175 0.4350 0.1501
Ta 0.7995 0.5990 0.5125
Ce 0.1417 0.2833 0.3082
N 0.3234 0.6468 0.3788
N 0.0484 0.0969 0.0593

***

Entry 11:
## Cr8Re (PBE)

Data for an optimized crystal structure of Cr8Re.

Output
- ΔE_f: 0.00 eV/atom

Lattice parameters (Å, degrees): 2.8958 6.2802 6.2802 86.95 76.67 76.67
Sites, in units of the cell vectors:
Cr 0.6708 0.6585 0.0000
Cr 0.3292 0.0000 0.3415
Cr 0.3292 0.3415 0.0000
Re 0.0000 0.0000 0.0000
Cr 0.6639 0.3361 0.3361
Cr 0.3361 0.6639 0.6639
Cr 0.0000 0.3361 0.6639
Cr 0.6708 0.0000 0.6585
Cr 0.0000 0.6639 0.3361

***

Entry 12:
## Pr4NdSm2Dy2 (PBE)

Data for an optimized crystal structure of Pr4NdSm2Dy2.

Output
- ΔE_f: 0.02 eV/atom

Lattice parameters (Å, degrees): 5.1702 8.1764 8.1553 107.49 90.00 108.43
Sites, in units of the cell vectors:
Pr 0.7773 0.5546 0.6696
Sm 0.8883 0.7767 0.3312
Dy 0.6680 0.3360 0.9992
Pr 0.4455 0.8910 0.6686
Pr 0.2227 0.4454 0.3304
Nd 0.0000 0.0000 0.0000
Pr 0.5545 0.1090 0.3314
Dy 0.3320 0.6640 0.0008
Sm 0.1117 0.2233 0.6688

***

Entry 13:
## YbSi2 (PBE)

Data for an optimized crystal structure of YbSi2.

Output
- ΔE_f (raw): -1.25 eV per formula unit

Lattice parameters (Å, degrees): 4.2078 4.2078 7.4008 106.53 106.53 89.94
Sites, in units of the cell vectors:
Si 0.2094 0.4596 0.9186
Si 0.9596 0.7094 0.4186
Si 0.7906 0.5404 0.0814
Yb 0.3751 0.1249 0.2500
Si 0.0404 0.2906 0.5814
Yb 0.6249 0.8751 0.7500

***

Entry 14:
## Na2IrPt2O6 (PBE)

Data for an optimized crystal structure of Na2IrPt2O6.

Output
- ΔE_f (raw): -8.57 eV per formula unit

Lattice parameters (Å, degrees): 5.5489 5.5489 5.5921 100.47 100.47 117.16
Sites, in units of the cell vectors:
O 0.2585 0.2585 0.3176
O 0.7415 0.7415 0.6824
Na 0.1700 0.8300 0.0000
Pt 0.3356 0.6644 0.5000
O 0.9506 0.6125 0.3145
O 0.3875 0.0494 0.6855
Pt 0.6644 0.3356 0.5000
O 0.6125 0.9506 0.3145
Na 0.8300 0.1700 0.0000
Ir 0.0000 0.0000 0.5000
O 0.0494 0.3875 0.6855

***

Entry 15:
## VTcN2 (PBE)

Data for an optimized crystal structure of VTcN2.

Output
- ΔE_f (raw): -1.43 eV per formula unit
- Excess energy over the best structure of this formula in the dataset: 0.0 meV per atom

Lattice parameters (Å, degrees): 4.5456 4.5456 5.4951 65.57 65.57 90.00
Sites, in units of the cell vectors:
Tc 0.7500 0.2500 0.5000
N 0.3750 0.3941 0.7500
V 0.2500 0.7500 0.5000
N 0.1441 0.6250 0.2500
Tc 0.0000 0.0000 0.0000
N 0.8750 0.8559 0.7500
N 0.6059 0.1250 0.2500
V 0.5000 0.5000 0.0000

***

Entry 16:
## Sm2Ho9Er (PBE)

Data for an optimized crystal structure of Sm2Ho9Er.

Output
- ΔE_f: 0.07 eV/atom
- Excess energy over the best structure of this formula in the dataset: 43.9 meV per atom

Lattice parameters (Å, degrees): 3.4817 11.1868 11.1868 120.00 90.00 90.00
Sites, in units of the cell vectors:
Ho 0.5000 0.8258 0.6515
Ho 0.5000 0.1742 0.3485
Ho 0.0000 0.0000 0.5000
Ho 0.5000 0.6515 0.8258
Sm 0.0000 0.3333 0.6667
Ho 0.0000 0.5000 0.0000
Ho 0.0000 0.5000 0.5000
Ho 0.5000 0.3485 0.1742
Ho 0.5000 0.1742 0.8258
Sm 0.0000 0.6667 0.3333
Ho 0.5000 0.8258 0.1742
Er 0.0000 0.0000 0.0000

***

Entry 17:
## Be2FeAuN (PBE)

Data for an optimized crystal structure of Be2FeAuN.

Output
- ΔE_f (raw): -0.49 eV per formula unit

Lattice parameters (Å, degrees): 3.6942 3.8369 3.6942 90.00 90.00 90.00
Sites, in units of the cell vectors:
Au 0.5000 0.5000 0.5000
N 0.0000 0.0000 0.0000
Be 0.0000 0.0000 0.5000
Be 0.5000 0.0000 0.0000
Fe 0.0000 0.5000 0.0000

***

Entry 18:
## Li2PuPaO6 (PBE)

Data for an optimized crystal structure of Li2PuPaO6.

Output
- ΔE_f (raw): -28.51 eV per formula unit

Lattice parameters (Å, degrees): 5.4442 5.4450 6.0027 63.03 63.02 59.99
Sites, in units of the cell vectors:
O 0.2092 0.9265 0.2862
Li 0.6007 0.6004 0.1983
O 0.7059 0.0549 0.8165
Pa 0.8162 0.8162 0.5515
O 0.4230 0.7059 0.8162
O 0.9266 0.5775 0.2865
Li 0.0318 0.0316 0.9053
O 0.5774 0.2094 0.2865
O 0.0547 0.4230 0.8167
Pu 0.3162 0.3162 0.0515

***

Entry 19:
## Nd7Al2Pd2 (PBE)

Data for an optimized crystal structure of Nd7Al2Pd2.

Output
- ΔE_f: -0.25 eV/atom

Lattice parameters (Å, degrees): 6.9700 7.2320 6.9700 90.00 108.10 90.00
Sites, in units of the cell vectors:
Al 0.1616 0.5000 0.1616
Nd 0.0000 0.2671 0.5000
Nd 0.5000 0.2612 0.5000
Nd 0.0000 0.7329 0.5000
Pd 0.7086 0.0000 0.2914
Nd 0.5000 0.2671 0.0000
Nd 0.5000 0.7388 0.5000
Pd 0.2914 0.0000 0.7086
Al 0.8384 0.5000 0.8384
Nd 0.5000 0.7329 0.0000
Nd 0.0000 0.0000 0.0000

***

Entry 20:
## Rb2Tl2Cd15 (PBE)

Data for an optimized crystal structure of Rb2Tl2Cd15.

Output
- ΔE_f: -0.04 eV/atom

Lattice parameters (Å, degrees): 8.0082 8.0082 8.0082 84.00 84.00 84.00
Sites, in units of the cell vectors:
Cd 0.0000 0.0000 0.5000
Cd 0.5000 0.0000 0.0000
Rb 0.3403 0.3403 0.3403
Cd 0.8355 0.3554 0.3554
Cd 0.0000 0.6991 0.3009
Tl 0.1034 0.1034 0.1034
Cd 0.6446 0.1645 0.6446
Cd 0.6991 0.3009 0.0000
Cd 0.3554 0.8355 0.3554
Cd 0.1645 0.6446 0.6446
Tl 0.8966 0.8966 0.8966
Cd 0.3009 0.0000 0.6991
Cd 0.3009 0.6991 0.0000
Cd 0.6446 0.6446 0.1645
Cd 0.3554 0.3554 0.8355
Rb 0.6597 0.6597 0.6597
Cd 0.6991 0.0000 0.3009
Cd 0.0000 0.5000 0.0000
Cd 0.0000 0.3009 0.6991

***

Number 1: D(E_F) 3.66 states/eV/cell. Number 2: D(E_F) 4.68 states/eV/cell. Number 3: D(E_F) 17.35 states/eV/cell. Number 4: D(E_F) 19.31 states/eV/cell. Number 5: D(E_F) 16.65 states/eV/cell. Number 6: D(E_F) 3.90 states/eV/cell. Number 7: D(E_F) 8.18 states/eV/cell. Number 8: D(E_F) 4.04 states/eV/cell. Number 9: D(E_F) 4.03 states/eV/cell. Number 10: D(E_F) 6.43 states/eV/cell. Number 11: D(E_F) 6.04 states/eV/cell. Number 12: D(E_F) 14.01 states/eV/cell. Number 13: D(E_F) 1.49 states/eV/cell. Number 14: D(E_F) 2.95 states/eV/cell. Number 15: D(E_F) 7.36 states/eV/cell. Number 16: D(E_F) 20.12 states/eV/cell. Number 17: D(E_F) 2.44 states/eV/cell. Number 18: D(E_F) 10.08 states/eV/cell. Number 19: D(E_F) 11.48 states/eV/cell. Number 20: D(E_F) 6.28 states/eV/cell.